# La2LuZn GGA-PBE optimized geometry
# SG: P4/mmm
# Excess energy over the best structure of this formula in the dataset, eV per atom: 0.0000
# Energy relative to the elements, meV per atom: -119
# Calculated volume, Å³/f.u.: 121.0
# Magnetization, μB/cell: 0.010
data_La2LuZn
_symmetry_space_group_name_H-M 'P 1'
_symmetry_Int_Tables_number 1
_cell_length_a 3.7506
_cell_length_b 3.7506
_cell_length_c 8.5996
_cell_angle_alpha 90.00
_cell_angle_beta 90.00
_cell_angle_gamma 90.00
loop_
_symmetry_equiv_pos_as_xyz
'x,y,z'
loop_
_atom_site_label
_atom_site_fract_x
_atom_site_fract_y
_atom_site_fract_z
La1 0.0000 0.0000 0.2164
La2 0.0000 0.0000 0.7836
Lu1 0.5000 0.5000 0.5000
Zn1 0.5000 0.5000 0.0000